Material: BeCr2Au
Method: DFT, PBE
State: relaxed

Cell lengths 2.625, 3.770, 5.179 Å; angles 90.00, 97.65, 90.00 degrees
Positions (direct):
Be 0.000 0.000 0.000
Cr 0.403 0.000 0.415
Cr 0.606 0.500 0.199
Au 0.972 0.500 0.723

symmetry = No. 6
DFT formation energy = 0.189 eV/atom
density of states at the Fermi level = 0.596 states/eV/atom
size of the total moment = 0.0 μB per formula unit
polymorph energy (0 for the lowest one) = 128 meV/atom
ρ = 10.13 g/cm3
total DFT energy (no corrections) = -25.49 eV/cell